(1)
Below is MgSc3O at its PBEsol-relaxed geometry, with properties calculated at the meta-GGA SCAN level.

Lattice parameters (Å, degrees): 4.4457 4.4457 4.4457 90.00 90.00 90.00
Closest atoms and distances in Å follow each position.
Sites, in units of the cell vectors:
Sc (0.0000, 0.0000, 0.5000)  2 O 2.22
Sc (0.0000, 0.5000, 0.0000)  2 O 2.22
Sc (0.5000, 0.0000, 0.0000)  2 O 2.22
Mg (0.5000, 0.5000, 0.5000)  12 Sc 3.14
O (0.0000, 0.0000, 0.0000)  6 Sc 2.22

Summary:
V, A^3/atom: 17.57
Space-group type: No. 221
Electronic total energy, eV per atom: -12.120
ΔE_f (raw), eV per formula unit: -6.68

(2)
Below is Mg2ScO at its PBEsol-relaxed geometry, with properties calculated at the meta-GGA SCAN level.

Lattice parameters (Å, degrees): 6.1494 6.1494 6.1494 91.46 119.16 119.16
Closest atoms and distances in Å follow each position.
Sites, in units of the cell vectors:
Mg (0.8132, 0.3750, 0.6882)  2 O 1.93
Mg (0.1868, 0.8750, 0.5618)  2 O 1.93
Mg (0.3132, 0.4382, 0.6250)  2 O 1.93
Mg (0.6868, 0.3118, 0.1250)  2 O 1.93
O (0.0000, 0.5000, 0.5000)  4 Mg 1.93
O (0.5000, 0.2500, 0.7500)  4 Mg 1.93
Sc (0.0000, 0.0000, 0.0000)  8 Mg 3.31-3.60
Sc (0.5000, 0.7500, 0.2500)  8 Mg 3.31-3.60

Summary:
V, A^3/atom: 20.81
Space-group type: No. 122
Electronic total energy, eV per atom: -8.536
ΔE_f (raw), eV per formula unit: -3.73

(3)
Below is Mg4Sc3Si8O24 at its PBEsol-relaxed geometry, with properties calculated at the meta-GGA SCAN level.

Lattice parameters (Å, degrees): 5.3942 8.8705 9.3701 90.00 90.40 90.00
Closest atoms and distances in Å follow each position.
Sites, in units of the cell vectors:
Mg (0.5000, 0.7650, 0.5000)  4 O 2.05-2.09
Mg (0.5000, 0.3984, 0.5000)  6 O 2.00-2.16
Mg (0.5000, 0.2749, 0.0000)  6 O 2.08-2.32
Mg (0.0000, 0.2317, 0.5000)  4 O 2.05-2.09
O (0.6618, 0.0981, 0.1218)  1 Si 1.64
O (0.3563, 0.7556, 0.8504)  1 Si 1.59
O (0.9225, 0.5056, 0.1558)  2 Si 1.63-1.64
O (0.8215, 0.9206, 0.8768)  1 Si 1.61
O (0.8211, 0.7561, 0.6185)  1 Si 1.62
O (0.6437, 0.7556, 0.1496)  1 Si 1.59
O (0.6823, 0.2491, 0.3803)  1 Si 1.60
O (0.1785, 0.9206, 0.1232)  1 Si 1.61
O (0.3426, 0.5870, 0.6141)  1 Si 1.65
O (0.4371, 0.4793, 0.1499)  2 Si 1.67
O (0.4513, 0.9813, 0.3563)  2 Si 1.66-1.68
O (0.0492, 0.0234, 0.6485)  2 Si 1.66-1.68
O (0.5629, 0.4793, 0.8501)  2 Si 1.67
O (0.1801, 0.2514, 0.1211)  1 Si 1.62
O (0.1789, 0.7561, 0.3815)  1 Si 1.62
O (0.6574, 0.5870, 0.3859)  1 Si 1.65
O (0.8308, 0.4023, 0.6188)  1 Si 1.64
O (0.0775, 0.5056, 0.8442)  2 Si 1.63-1.64
O (0.3177, 0.2491, 0.6197)  1 Si 1.60
O (0.9508, 0.0234, 0.3515)  2 Si 1.66-1.68
O (0.1692, 0.4023, 0.3812)  1 Si 1.64
O (0.8199, 0.2514, 0.8789)  1 Si 1.62
O (0.5487, 0.9813, 0.6437)  2 Si 1.66-1.68
O (0.3382, 0.0981, 0.8782)  1 Si 1.64
Sc (0.0000, 0.5927, 0.5000)  6 O 2.07-2.22
Sc (0.0000, 0.0875, 0.0000)  6 O 2.08-2.16
Sc (0.5000, 0.8860, 0.0000)  4 O 1.97-2.11
Si (0.1663, 0.4101, 0.2058)  4 O 1.62-1.67
Si (0.3243, 0.0917, 0.7036)  4 O 1.60-1.68
Si (0.1806, 0.9138, 0.2949)  4 O 1.61-1.68
Si (0.3325, 0.5885, 0.7902)  4 O 1.59-1.67
Si (0.6675, 0.5885, 0.2098)  4 O 1.59-1.67
Si (0.8194, 0.9138, 0.7051)  4 O 1.61-1.68
Si (0.8337, 0.4101, 0.7942)  4 O 1.62-1.67
Si (0.6757, 0.0917, 0.2964)  4 O 1.60-1.68

Summary:
V, A^3/atom: 11.50
Space-group type: No. 3
Electronic total energy, eV per atom: -10.650
ΔE_f (raw), eV per formula unit: -123.06

(4)
Below is MgSi2O5 at its PBEsol-relaxed geometry, with properties calculated at the meta-GGA SCAN level.

Lattice parameters (Å, degrees): 5.3267 6.9180 7.6555 90.00 90.00 90.00
Closest atoms and distances in Å follow each position.
Sites, in units of the cell vectors:
Si (0.5000, 0.8863, 0.3531)  5 O 1.70-1.78
Si (0.2450, 0.0000, 0.0000)  6 O 1.76-1.82
Si (0.5000, 0.1137, 0.6469)  5 O 1.70-1.78
Si (0.5000, 0.6137, 0.8531)  5 O 1.70-1.78
Si (0.7550, 0.0000, 0.0000)  6 O 1.76-1.82
Si (0.2450, 0.5000, 0.5000)  6 O 1.76-1.82
Si (0.5000, 0.3863, 0.1469)  5 O 1.70-1.78
Si (0.7550, 0.5000, 0.5000)  6 O 1.76-1.82
O (0.5000, 0.6535, 0.4219)  3 Si 1.70-1.82
O (0.5000, 0.3465, 0.5781)  3 Si 1.70-1.82
O (0.2873, 0.0000, 0.5000)  2 Si 1.78
O (0.2609, 0.1181, 0.7968)  2 Si 1.71-1.76
O (0.2609, 0.8819, 0.2032)  2 Si 1.71-1.76
O (0.7391, 0.1181, 0.7968)  2 Si 1.71-1.76
O (0.2609, 0.3819, 0.2968)  2 Si 1.71-1.76
O (0.2609, 0.6181, 0.7032)  2 Si 1.71-1.76
O (0.5000, 0.1535, 0.0781)  3 Si 1.70-1.82
O (0.7127, 0.0000, 0.5000)  2 Si 1.78
O (0.2873, 0.5000, 0.0000)  2 Si 1.78
O (0.5000, 0.8465, 0.9219)  3 Si 1.70-1.82
O (0.7127, 0.5000, 0.0000)  2 Si 1.78
O (0.0000, 0.1543, 0.0666)  2 Si 1.76
O (0.7391, 0.6181, 0.7032)  2 Si 1.71-1.76
O (0.0000, 0.3457, 0.5666)  2 Si 1.76
O (0.0000, 0.6543, 0.4334)  2 Si 1.76
O (0.0000, 0.8457, 0.9334)  2 Si 1.76
O (0.7391, 0.8819, 0.2032)  2 Si 1.71-1.76
O (0.7391, 0.3819, 0.2968)  2 Si 1.71-1.76
Mg (0.0000, 0.1504, 0.3424)  6 O 2.11-2.21
Mg (0.0000, 0.3496, 0.8424)  6 O 2.11-2.21
Mg (0.0000, 0.6504, 0.1576)  6 O 2.11-2.21
Mg (0.0000, 0.8496, 0.6576)  6 O 2.11-2.21

Summary:
V, A^3/atom: 8.82
Space-group type: No. 55
Electronic total energy, eV per atom: -9.958
ΔE_f (raw), eV per formula unit: -23.50